# 1
HfTc2GePd GGA-PBE optimized geometry; crystal system = tetragonal; density = 8.1 Mg/m³; ΔE_f = 1.491 eV per atom; N(E_F) = 5.5 states/eV/cell
1.0
-4.8137 0.1012 0.1049
0.1048 -0.0771 4.8824
0.1028 4.8143 0.0739
Hf Tc Pd Ge
1 2 1 1
Direct
0.0000 0.0000 0.0000
0.0000 0.0000 0.5000
0.5000 0.0000 0.0000
0.0000 0.5000 0.0000
0.5000 0.5000 0.5000



# 2
La4Sn3Hg GGA-PBE optimized geometry; crystal system = orthorhombic; density = 7.2 Mg/m³; ΔE_f = -0.715 eV per atom; N(E_F) = 9.3 states/eV/cell
1.0
-1.8091 -2.3020 -3.7114
3.9678 -2.1033 -0.6296
-3.5597 -8.8839 7.2455
La Sn Hg
4 3 1
Direct
0.5000 0.0000 0.6367
0.0000 0.5000 0.8637
0.5000 0.5000 0.3610
0.0000 0.0000 0.1358
0.5000 0.0000 0.9176
0.0000 0.5000 0.5872
0.0000 0.0000 0.4134
0.5000 0.5000 0.0845